1.
Here is a relaxed Pb12S3O5 crystal from Alexandria. Energies are from GGA-PBE.

total DFT energy (no corrections) = -355.821 eV/cell
spin magnetization = 0.0 μB/f.u.
formation energy (no corrections) = -7.3 eV per formula unit
DOS at the Fermi energy = 38.15 states/eV per cell
space group = Ia-3d

Geometry as POSCAR:
```
Pb12S3O5
1.0
-8.024 8.024 8.024
8.024 -8.024 8.024
8.024 8.024 -8.024
Pb S O
48 12 20
direct
0.026 0.211 0.113 Pb
0.026 0.314 0.913 Pb
0.087 0.613 0.401 Pb
0.087 0.974 0.686 Pb
0.099 0.711 0.686 Pb
0.099 0.887 0.413 Pb
0.113 0.026 0.211 Pb
0.113 0.587 0.901 Pb
0.186 0.211 0.599 Pb
0.186 0.474 0.587 Pb
0.211 0.113 0.026 Pb
0.211 0.599 0.186 Pb
0.289 0.314 0.901 Pb
0.289 0.474 0.387 Pb
0.314 0.901 0.289 Pb
0.314 0.913 0.026 Pb
0.387 0.289 0.474 Pb
0.387 0.599 0.913 Pb
0.401 0.087 0.613 Pb
0.401 0.814 0.789 Pb
0.413 0.099 0.887 Pb
0.413 0.814 0.526 Pb
0.474 0.387 0.289 Pb
0.474 0.587 0.186 Pb
0.526 0.413 0.814 Pb
0.526 0.613 0.711 Pb
0.587 0.186 0.474 Pb
0.587 0.901 0.113 Pb
0.599 0.186 0.211 Pb
0.599 0.913 0.387 Pb
0.613 0.401 0.087 Pb
0.613 0.711 0.526 Pb
0.686 0.087 0.974 Pb
0.686 0.099 0.711 Pb
0.711 0.526 0.613 Pb
0.711 0.686 0.099 Pb
0.789 0.401 0.814 Pb
0.789 0.887 0.974 Pb
0.814 0.526 0.413 Pb
0.814 0.789 0.401 Pb
0.887 0.413 0.099 Pb
0.887 0.974 0.789 Pb
0.901 0.113 0.587 Pb
0.901 0.289 0.314 Pb
0.913 0.026 0.314 Pb
0.913 0.387 0.599 Pb
0.974 0.686 0.087 Pb
0.974 0.789 0.887 Pb
0.125 0.250 0.375 S
0.125 0.375 0.750 S
0.250 0.375 0.125 S
0.250 0.875 0.625 S
0.375 0.125 0.250 S
0.375 0.750 0.125 S
0.625 0.250 0.875 S
0.625 0.875 0.750 S
0.750 0.125 0.375 S
0.750 0.625 0.875 S
0.875 0.625 0.250 S
0.875 0.750 0.625 S
0.000 0.000 0.000 O
0.000 0.000 0.500 O
0.000 0.500 0.000 O
0.000 0.500 0.500 O
0.125 0.750 0.875 O
0.125 0.875 0.250 O
0.250 0.125 0.875 O
0.250 0.625 0.375 O
0.375 0.250 0.625 O
0.375 0.625 0.750 O
0.500 0.000 0.000 O
0.500 0.000 0.500 O
0.500 0.500 0.000 O
0.500 0.500 0.500 O
0.625 0.375 0.250 O
0.625 0.750 0.375 O
0.750 0.375 0.625 O
0.750 0.875 0.125 O
0.875 0.125 0.750 O
0.875 0.250 0.125 O
```

---

2.
Here is a relaxed Te2SeCl crystal from Alexandria. Energies are from GGA-PBE.

total DFT energy (no corrections) = -11.534 eV/cell
spin magnetization = 0.0 μB/f.u.
formation energy (no corrections) = 0.1 eV per formula unit
offset from the most stable computed form = 0.1682 eV per atom
DOS at the Fermi energy = 1.05 states/eV per cell
space group = C2/m

Geometry as POSCAR:
```
Te2SeCl
1.0
3.613 -2.023 0.000
3.613 2.023 0.000
-0.578 0.000 8.118
Te Se Cl
2 1 1
direct
0.181 0.181 0.215 Te
0.819 0.819 0.785 Te
0.500 0.500 0.000 Se
0.000 0.000 0.500 Cl
```

---

> Which of these has the highest total DFT energy (no corrections)?

Te2SeCl

---

> Among the records above, which one has the highest total DFT energy (no corrections)?

Te2SeCl